Compound: Mg3CrF
Source: Alexandria via LeMat-Bulk
Functional: PBE+U
Structure: optimized geometry

Energy above the lowest structure with this stoichiometry: 0.827 eV per atom
Crystal system: cubic

```
Mg3CrF
1.0
5.339 0.000 0.000
0.000 5.339 0.000
0.000 0.000 5.339
Mg Cr F
3 1 1
Cartesian
0.000 0.000 2.669
0.000 2.669 0.000
2.669 0.000 0.000
0.000 0.000 0.000
2.669 2.669 2.669
```